Entry 1:
Computed, not measured: a relaxed structure of LaZrCr2 at the PBE level of DFT.

Output
Energy above the most stable polymorph in this dataset: 42 kJ/mol of formula units
N(E_F): 4.4 states/eV/cell

a = 3.432 Å, b = 3.432 Å, c = 7.203 Å
α = 90.00°, β = 90.00°, γ = 90.00°
Element x y z (fractional)
La: 0.000 0.000 0.000
Zr: 0.000 0.000 0.500
Cr: 0.500 0.500 0.289
Cr: 0.500 0.500 0.711

Entry 2:
Computed, not measured: a relaxed structure of LaZrCr2 at the PBE level of DFT.

Output
Energy above the most stable polymorph in this dataset: 95 kJ/mol of formula units
N(E_F): 10.4 states/eV/cell

a = 9.709 Å, b = 3.393 Å, c = 5.942 Å
α = 90.00°, β = 114.02°, γ = 90.00°
Element x y z (fractional)
La: 0.000 0.000 0.000
La: 0.500 0.500 0.000
Zr: 0.000 0.500 0.500
Zr: 0.500 0.000 0.500
Cr: 0.245 0.000 0.619
Cr: 0.255 0.500 0.381
Cr: 0.745 0.500 0.619
Cr: 0.755 0.000 0.381

Entry 3:
Computed, not measured: a relaxed structure of LaZrCr2 at the PBE level of DFT.

Output
Energy above the most stable polymorph in this dataset: 168 kJ/mol of formula units
N(E_F): 5.2 states/eV/cell

a = 5.101 Å, b = 3.156 Å, c = 5.786 Å
α = 90.00°, β = 113.14°, γ = 90.00°
Element x y z (fractional)
La: 0.000 0.000 0.000
Zr: 0.500 0.500 0.500
Cr: 0.000 0.000 0.500
Cr: 0.500 0.500 0.000

Entry 4:
Computed, not measured: a relaxed structure of La2ZrCr2 at the PBE level of DFT.

Output
N(E_F): 6.1 states/eV/cell

a = 5.494 Å, b = 5.494 Å, c = 4.363 Å
α = 90.00°, β = 90.00°, γ = 90.00°
Element x y z (fractional)
La: 0.000 0.500 0.000
La: 0.500 0.000 0.000
Zr: 0.000 0.000 0.500
Cr: 0.500 0.500 0.000
Cr: 0.500 0.500 0.500

Entry 5:
Computed, not measured: a relaxed structure of La4ZrCr at the PBE level of DFT.

Output
N(E_F): 9.7 states/eV/cell

a = 6.461 Å, b = 6.461 Å, c = 6.461 Å
α = 60.00°, β = 60.00°, γ = 60.00°
Element x y z (fractional)
La: 0.125 0.125 0.125
La: 0.125 0.125 0.624
La: 0.125 0.624 0.125
La: 0.624 0.125 0.125
Zr: 0.750 0.750 0.750
Cr: 0.500 0.500 0.500

Entry 6:
Computed, not measured: a relaxed structure of LaZrCr2 at the PBE level of DFT.

Output
Energy above the most stable polymorph in this dataset: 0 kJ/mol of formula units
N(E_F): 5.1 states/eV/cell

a = 3.085 Å, b = 3.085 Å, c = 8.404 Å
α = 90.00°, β = 90.00°, γ = 90.00°
Element x y z (fractional)
La: 0.000 0.000 0.000
Zr: 0.500 0.500 0.637
Cr: 0.000 0.000 0.417
Cr: 0.500 0.500 0.278

For the records above, the corresponding E_form values read 1.7, 2.2, 3.0, 3.9, 4.4, 1.2 eV per formula unit.